Entry 1:
# GaGePd2 (GGA-PBE, relaxed)
# - VASP energy (eV per atom) = -4.7015
# - D(E_F) (states/eV per atom) = 0.595
# - energy above the lowest structure with this stoichiometry (meV/atom) = 255.0
# - ΔE_f (eV/atom) = -0.19
data_GaGePd2
_cell_length_a 6.976
_cell_length_b 6.976
_cell_length_c 5.608
_cell_angle_alpha 90.00
_cell_angle_beta 90.00
_cell_angle_gamma 90.00
_space_group_name_H-M_alt 'I -4 2 d'
_space_group_IT_number 122
_space_group_name_Hall 'I -4 2bw'
loop_
_atom_site_label
_atom_site_type_symbol
_atom_site_fract_x
_atom_site_fract_y
_atom_site_fract_z
Ga1 Ga 0.000 0.000 0.000
Ge1 Ge 0.000 0.000 0.500
Pd1 Pd 0.246 0.250 0.125

***

Entry 2:
# Ga2GePd8 (GGA-PBE, relaxed)
# - VASP energy (eV per atom) = -5.2093
# - D(E_F) (states/eV per atom) = 0.341
# - energy above the lowest structure with this stoichiometry (meV/atom) = 16.0
# - ΔE_f (eV/atom) = -0.46
data_Ga2GePd8
_cell_length_a 4.134
_cell_length_b 7.101
_cell_length_c 11.579
_cell_angle_alpha 90.00
_cell_angle_beta 90.00
_cell_angle_gamma 90.00
_space_group_name_H-M_alt 'I m m m'
_space_group_IT_number 71
_space_group_name_Hall '-I 2 2'
loop_
_atom_site_label
_atom_site_type_symbol
_atom_site_fract_x
_atom_site_fract_y
_atom_site_fract_z
Ga1 Ga 0.000 0.000 0.190
Ge1 Ge 0.000 0.000 0.500
Pd1 Pd 0.000 0.188 0.000
Pd2 Pd 0.000 0.274 0.340
Pd3 Pd 0.000 0.500 0.139